1:
Here is a relaxed MgCd2Si crystal from Alexandria via LeMat-Bulk. Energies are from PBE-GGA.

Geometry as extended XYZ:
```
4
Lattice="2.900 -4.295 0.000 2.900 4.295 0.000 0.000 0.000 3.321" Properties=species:S:1:pos:R:3 pbc="T T T"
Mg 0.000 0.000 0.000
Cd 1.450 2.148 1.660
Cd 1.450 -2.148 1.660
Si 2.900 0.000 0.000
```

Crystal system: orthorhombic
SG: Cmmm (65)

***

2:
Here is a relaxed MgCd2Si crystal from Alexandria via LeMat-Bulk. Energies are from PBE-GGA.

Geometry as extended XYZ:
```
4
Lattice="3.236 0.000 0.000 0.000 4.136 0.000 0.000 0.000 6.118" Properties=species:S:1:pos:R:3 pbc="T T T"
Mg 0.000 0.000 0.000
Cd 0.000 0.000 2.881
Cd 1.618 2.068 4.467
Si 1.618 2.068 1.257
```

Crystal system: orthorhombic
SG: Pmm2 (25)

***

3:
Here is a relaxed MgCd2Si crystal from Alexandria via LeMat-Bulk. Energies are from PBE-GGA.

Geometry as extended XYZ:
```
4
Lattice="0.000 3.468 3.468 3.468 0.000 3.468 3.468 3.468 0.000" Properties=species:S:1:pos:R:3 pbc="T T T"
Mg 0.000 0.000 0.000
Cd 3.468 3.468 3.468
Cd 5.203 5.203 5.203
Si 1.734 1.734 1.734
```

Crystal system: cubic
SG: F-43m (216)

***

4:
Here is a relaxed MgCd2Si crystal from Alexandria via LeMat-Bulk. Energies are from PBE-GGA.

Geometry as extended XYZ:
```
8
Lattice="-2.108 2.108 9.881 2.108 -2.108 9.881 2.108 2.108 -9.881" Properties=species:S:1:pos:R:3 pbc="T T T"
Mg 0.000 0.000 0.000
Mg 0.000 2.108 4.940
Cd 1.054 -1.041 7.411
Cd 1.067 1.054 2.470
Cd 1.054 3.149 -2.470
Cd 1.041 1.054 12.351
Si 2.108 0.000 4.940
Si 0.000 0.000 9.881
```

Crystal system: tetragonal
SG: I-42d (122)

***

2 comes first in stability; the runner-up is 20 meV per atom higher.

***

1:
Here is a relaxed MgCd3Si crystal from Alexandria via LeMat-Bulk. Energies are from PBE-GGA.

Geometry as extended XYZ:
```
5
Lattice="5.229 0.000 0.000 0.000 5.229 0.000 0.000 0.000 5.229" Properties=species:S:1:pos:R:3 pbc="T T T"
Mg 0.000 0.000 0.000
Cd 0.000 0.000 2.614
Cd 0.000 2.614 0.000
Cd 2.614 0.000 0.000
Si 2.614 2.614 2.614
```

Crystal system: cubic
SG: Pm-3m (221)

***

2:
Here is a relaxed MgCd3Si crystal from Alexandria via LeMat-Bulk. Energies are from PBE-GGA.

Geometry as extended XYZ:
```
5
Lattice="5.194 0.000 0.000 0.000 5.194 0.000 0.000 0.000 5.194" Properties=species:S:1:pos:R:3 pbc="T T T"
Mg 0.000 0.000 0.000
Cd 0.000 2.597 2.597
Cd 2.597 0.000 2.597
Cd 2.597 2.597 0.000
Si 2.597 2.597 2.597
```

Crystal system: cubic
SG: Pm-3m (221)

***

2 comes first in stability; the runner-up is 432 meV per atom higher.

***

1:
Here is a relaxed Sm6MgCd crystal from Alexandria via LeMat-Bulk. Energies are from PBE-GGA.

Geometry as extended XYZ:
```
8
Lattice="-2.591 2.591 9.230 2.591 -2.591 9.230 2.591 2.591 -9.230" Properties=species:S:1:pos:R:3 pbc="T T T"
Sm 2.591 0.000 2.101
Sm 0.000 0.000 4.599
Sm 2.591 0.000 7.129
Sm 0.000 2.591 2.101
Sm 0.000 0.000 13.862
Sm 0.000 2.591 7.129
Mg 0.000 0.000 0.000
Cd 0.000 0.000 9.230
```

Crystal system: tetragonal
SG: I4/mmm (139)

***

2:
Here is a relaxed Sm6MgCd crystal from Alexandria via LeMat-Bulk. Energies are from PBE-GGA.

Geometry as extended XYZ:
```
8
Lattice="6.288 0.000 0.000 -0.139 6.287 0.000 -0.117 -0.070 6.303" Properties=species:S:1:pos:R:3 pbc="T T T"
Sm 0.117 0.176 1.572
Sm 1.396 2.928 6.111
Sm 2.808 4.685 2.965
Sm 3.223 1.532 3.338
Sm 4.636 3.289 0.192
Sm 5.915 6.041 4.730
Mg -0.128 3.109 3.151
Cd 3.144 0.000 0.000
```

Crystal system: triclinic
SG: P-1 (2)

***

1 comes first in stability; the runner-up is 100 meV per atom higher.

***

1:
Here is a relaxed SmMg4Cd2 crystal from Alexandria via LeMat-Bulk. Energies are from PBE-GGA.

Geometry as extended XYZ:
```
7
Lattice="4.754 -3.753 0.000 4.754 3.753 0.000 -3.497 0.000 4.624" Properties=species:S:1:pos:R:3 pbc="T T T"
Sm 0.000 0.000 0.000
Mg 1.837 2.285 1.413
Mg 4.173 2.285 3.211
Mg 1.837 -2.285 1.413
Mg 4.173 -2.285 3.211
Cd 3.872 0.000 1.145
Cd 2.138 0.000 3.479
```

Crystal system: monoclinic
SG: C2/m (12)

***

2:
Here is a relaxed SmMg4Cd2 crystal from Alexandria via LeMat-Bulk. Energies are from PBE-GGA.

Geometry as extended XYZ:
```
14
Lattice="8.466 0.000 0.000 0.000 8.466 0.000 0.000 0.000 4.720" Properties=species:S:1:pos:R:3 pbc="T T T"
Sm 0.000 0.000 0.000
Sm 4.233 4.233 2.360
Mg 0.826 2.934 2.360
Mg 1.299 5.059 0.000
Mg 2.934 0.826 2.360
Mg 3.407 7.167 0.000
Mg 5.059 1.299 0.000
Mg 5.532 7.640 2.360
Mg 7.167 3.407 0.000
Mg 7.640 5.532 2.360
Cd 1.783 6.683 2.360
Cd 2.450 2.450 0.000
Cd 6.016 6.016 0.000
Cd 6.683 1.783 2.360
```

Crystal system: tetragonal
SG: P4_2/mnm (136)

***

2 comes first in stability; the runner-up is 50 meV per atom higher.

***

1:
Here is a relaxed Sm8MgCd2 crystal from Alexandria via LeMat-Bulk. Energies are from PBE-GGA.

Geometry as extended XYZ:
```
11
Lattice="9.152 -2.676 0.000 9.152 2.676 0.000 -2.156 0.000 7.003" Properties=species:S:1:pos:R:3 pbc="T T T"
Sm -0.106 0.000 1.821
Sm 1.762 0.000 5.475
Sm 4.919 0.000 3.781
Sm 7.389 0.000 0.243
Sm 8.759 0.000 6.760
Sm 11.228 0.000 3.222
Sm 14.386 0.000 1.529
Sm 16.253 0.000 5.182
Mg 8.074 0.000 3.502
Cd 3.010 0.000 1.415
Cd 13.138 0.000 5.589
```

Crystal system: monoclinic
SG: C2/m (12)

***

2:
Here is a relaxed Sm8MgCd2 crystal from Alexandria via LeMat-Bulk. Energies are from PBE-GGA.

Geometry as extended XYZ:
```
11
Lattice="8.265 -2.750 0.000 8.265 2.750 0.000 -4.509 0.000 7.448" Properties=species:S:1:pos:R:3 pbc="T T T"
Sm 0.115 0.000 1.668
Sm -0.826 0.000 5.133
Sm 2.763 0.000 4.120
Sm 6.520 0.000 0.343
Sm 5.501 0.000 7.104
Sm 9.257 0.000 3.328
Sm 12.847 0.000 2.315
Sm 11.905 0.000 5.780
Mg 6.010 0.000 3.724
Cd 3.253 0.000 0.922
Cd 8.768 0.000 6.526
```

Crystal system: monoclinic
SG: C2/m (12)

***

2 comes first in stability; the runner-up is 49 meV per atom higher.

***

1:
Here is a relaxed Sm4MgCd crystal from Alexandria via LeMat-Bulk. Energies are from PBE-GGA.

Geometry as extended XYZ:
```
6
Lattice="3.708 0.000 0.000 0.000 3.708 0.000 0.000 0.000 13.166" Properties=species:S:1:pos:R:3 pbc="T T T"
Sm 0.000 0.000 2.040
Sm 0.000 0.000 11.127
Sm 1.854 1.854 4.495
Sm 1.854 1.854 8.672
Mg 0.000 0.000 6.583
Cd 1.854 1.854 0.000
```

Crystal system: tetragonal
SG: P4/mmm (123)

***

2:
Here is a relaxed Sm4MgCd crystal from Alexandria via LeMat-Bulk. Energies are from PBE-GGA.

Geometry as extended XYZ:
```
6
Lattice="5.542 -1.762 0.000 5.542 1.762 0.000 -4.975 0.000 9.797" Properties=species:S:1:pos:R:3 pbc="T T T"
Sm -0.125 0.000 3.450
Sm 3.065 0.000 1.511
Sm 3.044 0.000 8.286
Sm 6.234 0.000 6.347
Mg 0.000 0.000 0.000
Cd 3.054 0.000 4.898
```

Crystal system: monoclinic
SG: C2/m (12)

***

1 comes first in stability; the runner-up is 207 meV per atom higher.

***

1:
Here is a relaxed Sm4Mg3Cd crystal from Alexandria via LeMat-Bulk. Energies are from PBE-GGA.

Geometry as extended XYZ:
```
8
Lattice="3.845 0.000 0.000 0.000 3.845 0.000 0.000 0.000 15.312" Properties=species:S:1:pos:R:3 pbc="T T T"
Sm 0.000 0.000 1.893
Sm 0.000 0.000 5.716
Sm 0.000 0.000 9.596
Sm 0.000 0.000 13.419
Mg 1.922 1.922 3.828
Mg 1.922 1.922 7.656
Mg 1.922 1.922 11.485
Cd 1.922 1.922 0.000
```

Crystal system: tetragonal
SG: P4/mmm (123)

***

2:
Here is a relaxed Sm4Mg3Cd crystal from Alexandria via LeMat-Bulk. Energies are from PBE-GGA.

Geometry as extended XYZ:
```
8
Lattice="3.452 0.000 0.000 0.000 5.117 0.000 0.000 0.000 12.856" Properties=species:S:1:pos:R:3 pbc="T T T"
Sm 0.000 0.000 0.000
Sm 0.000 2.559 4.283
Sm 1.726 0.000 6.373
Sm 1.726 2.559 10.783
Mg 0.000 0.000 9.389
Mg 0.000 2.559 7.742
Mg 1.726 2.559 1.335
Cd 1.726 0.000 2.985
```

Crystal system: orthorhombic
SG: Pmm2 (25)

***

1 comes first in stability; the runner-up is 51 meV per atom higher.

***

1:
Here is a relaxed SmMg2Cd3 crystal from Alexandria via LeMat-Bulk. Energies are from PBE-GGA.

Geometry as extended XYZ:
```
12
Lattice="5.437 -4.391 0.000 5.437 4.391 0.000 0.000 0.000 6.214" Properties=species:S:1:pos:R:3 pbc="T T T"
Sm 5.437 3.183 4.660
Sm 5.437 -3.183 1.553
Mg 2.977 0.000 0.000
Mg 2.977 0.000 3.107
Mg 7.897 0.000 0.000
Mg 7.897 0.000 3.107
Cd 3.926 2.510 1.553
Cd 6.948 2.510 1.553
Cd 5.437 0.009 1.553
Cd 5.437 -0.009 4.660
Cd 3.926 -2.510 4.660
Cd 6.948 -2.510 4.660
```

Crystal system: orthorhombic
SG: Cmcm (63)

***

2:
Here is a relaxed SmMg2Cd3 crystal from Alexandria via LeMat-Bulk. Energies are from PBE-GGA.

Geometry as extended XYZ:
```
12
Lattice="4.934 0.000 0.000 -2.467 4.273 0.000 0.000 0.000 13.501" Properties=species:S:1:pos:R:3 pbc="T T T"
Sm 0.000 0.000 3.375
Sm 0.000 0.000 10.126
Mg 0.000 2.849 1.306
Mg 0.000 2.849 5.445
Mg 2.467 1.424 8.057
Mg 2.467 1.424 12.195
Cd 0.000 0.000 0.000
Cd 0.000 0.000 6.751
Cd 0.000 2.849 8.569
Cd 0.000 2.849 11.683
Cd 2.467 1.424 1.818
Cd 2.467 1.424 4.932
```

Crystal system: hexagonal
SG: P6_3/mmc (194)

***

2 comes first in stability; the runner-up is 83 meV per atom higher.

***

1:
Here is a relaxed Sm3Mg4Cd2 crystal from Alexandria via LeMat-Bulk. Energies are from PBE-GGA.

Geometry as extended XYZ:
```
9
Lattice="5.600 -2.590 0.000 5.600 2.590 0.000 -5.225 0.000 8.039" Properties=species:S:1:pos:R:3 pbc="T T T"
Sm 0.000 0.000 0.000
Sm 2.017 0.000 2.674
Sm 3.958 0.000 5.365
Mg -1.346 0.000 3.162
Mg -1.774 0.000 7.619
Mg 7.749 0.000 0.420
Mg 7.321 0.000 4.877
Cd 0.583 0.000 5.812
Cd 5.392 0.000 2.227
```

Crystal system: monoclinic
SG: C2/m (12)

***

2:
Here is a relaxed Sm3Mg4Cd2 crystal from Alexandria via LeMat-Bulk. Energies are from PBE-GGA.

Geometry as extended XYZ:
```
9
Lattice="4.724 -2.657 0.000 4.724 2.657 0.000 -1.191 0.000 9.439" Properties=species:S:1:pos:R:3 pbc="T T T"
Sm 0.000 0.000 0.000
Sm 3.165 0.000 2.407
Sm 5.091 0.000 7.031
Mg 0.047 0.000 3.362
Mg 1.954 0.000 8.527
Mg 6.302 0.000 0.912
Mg 8.209 0.000 6.077
Cd 1.983 0.000 5.635
Cd 6.273 0.000 3.804
```

Crystal system: monoclinic
SG: C2/m (12)

***

1 comes first in stability; the runner-up is 67 meV per atom higher.

***

1:
Here is a relaxed Sm2MgCd5 crystal from Alexandria via LeMat-Bulk. Energies are from PBE-GGA.

Geometry as extended XYZ:
```
16
Lattice="2.297 -8.809 0.000 2.297 8.809 0.000 0.000 0.000 10.140" Properties=species:S:1:pos:R:3 pbc="T T T"
Sm 0.000 0.000 0.000
Sm 0.000 0.000 5.070
Sm 2.297 5.497 7.605
Sm 2.297 -5.497 2.535
Mg 2.297 0.710 2.535
Mg 2.297 -0.710 7.605
Cd 2.297 5.295 1.022
Cd 2.297 5.295 4.048
Cd 2.297 2.370 0.309
Cd 2.297 2.370 4.761
Cd 2.297 2.039 7.605
Cd 2.297 -2.039 2.535
Cd 2.297 -2.370 5.379
Cd 2.297 -2.370 9.831
Cd 2.297 -5.295 6.092
Cd 2.297 -5.295 9.117
```

Crystal system: orthorhombic
SG: Cmcm (63)

***

2:
Here is a relaxed Sm2MgCd5 crystal from Alexandria via LeMat-Bulk. Energies are from PBE-GGA.

Geometry as extended XYZ:
```
8
Lattice="-2.445 2.445 8.160 2.445 -2.445 8.160 2.445 2.445 -8.160" Properties=species:S:1:pos:R:3 pbc="T T T"
Sm 0.000 0.000 4.041
Sm 0.000 0.000 12.279
Mg 0.000 0.000 8.160
Cd 0.000 0.000 0.000
Cd 2.445 0.000 1.866
Cd 2.445 0.000 6.295
Cd 0.000 2.445 1.866
Cd 0.000 2.445 6.295
```

Crystal system: tetragonal
SG: I4/mmm (139)

***

2 comes first in stability; the runner-up is 20 meV per atom higher.